# 1
DFT (PBE) results for crystalline AcPr6Sn at its relaxed geometry. Values from VASP.

Structure (Quantum ESPRESSO input):
```
&SYSTEM
  ibrav = 0, nat = 8, ntyp = 3
/
ATOMIC_SPECIES
Pr 140.91 Pr.upf
Ac 227.00 Ac.upf
Sn 118.71 Sn.upf
CELL_PARAMETERS angstrom
5.097 0.000 0.000
0.000 5.097 0.000
0.000 0.000 10.610
ATOMIC_POSITIONS angstrom
Pr 2.549 0.000 2.818
Pr 0.000 2.549 7.792
Pr 2.549 2.549 5.305
Pr 2.549 2.549 0.000
Ac 0.000 0.000 0.000
Pr 2.549 0.000 7.792
Pr 0.000 2.549 2.818
Sn 0.000 0.000 5.305
```

## Properties
* D(E_F): 9.47 states/eV per cell
* VASP energy: -4.78 eV per atom


# 2
DFT (PBE) results for crystalline YZrIn at its relaxed geometry. Values from VASP.

Structure (Quantum ESPRESSO input):
```
&SYSTEM
  ibrav = 0, nat = 3, ntyp = 3
/
ATOMIC_SPECIES
Y 88.91 Y.upf
In 114.82 In.upf
Zr 91.22 Zr.upf
CELL_PARAMETERS angstrom
4.997 0.000 0.000
2.499 4.328 0.000
2.499 1.443 4.080
ATOMIC_POSITIONS angstrom
Y 0.000 0.000 0.000
In 2.499 1.443 1.020
Zr 4.997 2.885 2.040
```

## Properties
* D(E_F): 4.44 states/eV per cell
* VASP energy: -5.78 eV per atom
* energy above the lowest structure with this stoichiometry: 0.3668 eV per atom


# 3
DFT (PBE) results for crystalline NpVRh2 at its relaxed geometry. Values from VASP.

Structure (Quantum ESPRESSO input):
```
&SYSTEM
  ibrav = 0, nat = 4, ntyp = 3
/
ATOMIC_SPECIES
Np 237.00 Np.upf
Rh 102.91 Rh.upf
V 50.94 V.upf
CELL_PARAMETERS angstrom
-1.702 3.962 -1.590
-1.102 0.409 -4.443
-4.408 0.266 -1.259
ATOMIC_POSITIONS angstrom
Np -3.606 2.319 -3.646
Rh -5.413 3.477 -5.468
V 0.000 0.000 0.000
Rh -1.799 1.161 -1.824
```

## Properties
* D(E_F): 9.79 states/eV per cell
* VASP energy: -9.29 eV per atom
* energy above the lowest structure with this stoichiometry: 0.0946 eV per atom


# 4
DFT (PBE) results for crystalline PmPt3Rh4O12 at its relaxed geometry. Values from VASP.

Structure (Quantum ESPRESSO input):
```
&SYSTEM
  ibrav = 0, nat = 20, ntyp = 4
/
ATOMIC_SPECIES
O 16.00 O.upf
Rh 102.91 Rh.upf
Pt 195.08 Pt.upf
Pm 145.00 Pm.upf
CELL_PARAMETERS angstrom
-1.531 0.614 -6.442
5.303 -3.959 0.651
-5.155 -2.647 3.260
ATOMIC_POSITIONS angstrom
O -2.114 -0.807 -4.307
O -1.977 -1.708 -0.301
Rh 2.652 -1.979 0.325
Rh -2.578 -1.324 1.630
Pt -3.343 -1.016 -1.591
O 3.277 -3.468 -0.953
O 0.594 -4.283 -2.229
Pt 1.886 -1.672 -2.896
O -4.659 -2.524 -1.578
O -1.399 -4.652 -0.267
Pm 0.000 0.000 0.000
Rh -0.691 -2.996 -1.265
Pt 0.074 -3.303 1.956
O -2.913 -3.310 2.056
O 0.732 -5.185 1.776
O 1.530 -2.682 -4.587
O 0.672 -2.535 0.207
O -2.055 -3.457 -2.738
O 0.016 -1.340 -2.264
Rh -0.765 0.307 -3.221
```

## Properties
* D(E_F): 11.53 states/eV per cell
* VASP energy: -6.52 eV per atom